Record 1
The following is a PBE-GGA calculation of crystalline Ho2MgPd9 at its relaxed geometry, from the Alexandria database.

DOS(E_F) in states/eV per atom: 0.8493
Mass density in g/cm3: 10.79
DFT total energy in eV/atom: -5.533
Energy of formation in eV/atom: -0.74
Total moment in μB per cell: 0.00

Unit cell a=4.085 b=4.085 c=12.100 alpha=90.00 beta=90.00 gamma=90.00
Fractional coordinates of all 12 atoms:
Ho  0.000  0.000  0.172
Ho  0.000  0.000  0.828
Mg  0.000  0.000  0.500
Pd  0.000  0.500  0.000
Pd  0.000  0.500  0.342
Pd  0.000  0.500  0.658
Pd  0.500  0.000  0.000
Pd  0.500  0.000  0.342
Pd  0.500  0.000  0.658
Pd  0.500  0.500  0.170
Pd  0.500  0.500  0.500
Pd  0.500  0.500  0.830

Record 2
The following is a PBE-GGA calculation of crystalline Ba2GePb2 at its relaxed geometry, from the Alexandria database.

DOS(E_F) in states/eV per atom: 0.5649
Mass density in g/cm3: 6.93
DFT total energy in eV/atom: -3.543
Energy of formation in eV/atom: -0.37
Total moment in μB per cell: 0.00

Unit cell a=8.182 b=8.182 c=5.456 alpha=90.00 beta=90.00 gamma=90.00
Fractional coordinates of all 10 atoms:
Ba  0.171  0.329  0.000
Ba  0.329  0.829  0.000
Ba  0.671  0.171  0.000
Ba  0.829  0.671  0.000
Ge  0.000  0.000  0.500
Ge  0.500  0.500  0.500
Pb  0.138  0.638  0.500
Pb  0.362  0.138  0.500
Pb  0.638  0.862  0.500
Pb  0.862  0.362  0.500

Record 3
The following is a PBE-GGA calculation of crystalline MgAl2P at its relaxed geometry, from the Alexandria database.

DOS(E_F) in states/eV per atom: 0.3376
Mass density in g/cm3: 2.59
DFT total energy in eV/atom: -3.566
Energy of formation in eV/atom: 0.06
Total moment in μB per cell: 0.00

Unit cell a=4.499 b=4.499 c=3.604 alpha=90.00 beta=90.00 gamma=106.44
Fractional coordinates of all 4 atoms:
Mg  0.000  0.000  0.000
Al  0.000  0.500  0.500
Al  0.500  0.000  0.500
P  0.500  0.500  0.000

Record 4
The following is a PBE-GGA calculation of crystalline LaTcTe2 at its relaxed geometry, from the Alexandria database.

DOS(E_F) in states/eV per atom: 0.9338
Formation energy from raw total energies in eV per atom: -0.465
Mass density in g/cm3: 7.88
DFT total energy in eV/atom: -5.859
Total moment in μB per cell: 0.00

Unit cell a=5.467 b=5.467 c=5.467 alpha=133.65 beta=114.12 gamma=84.32
Fractional coordinates of all 4 atoms:
La  0.000  0.000  0.000
Tc  0.500  0.500  0.000
Te  0.300  0.800  0.500
Te  0.700  0.200  0.500

Record 5
The following is a PBE-GGA calculation of crystalline TcRuPt at its relaxed geometry, from the Alexandria database.

DOS(E_F) in states/eV per atom: 1.4348
Mass density in g/cm3: 12.57
DFT total energy in eV/atom: -8.075
Energy of formation in eV/atom: 0.49
Total moment in μB per cell: 0.00

Unit cell a=4.191 b=4.191 c=4.191 alpha=60.00 beta=60.00 gamma=60.00
Fractional coordinates of all 3 atoms:
Tc  0.000  0.000  0.000
Ru  0.250  0.250  0.250
Pt  0.750  0.750  0.750

Record 6
The following is a PBE-GGA calculation of crystalline TcHOsAuN at its relaxed geometry, from the Alexandria database.

DOS(E_F) in states/eV per atom: 0.7330
Mass density in g/cm3: 12.89
DFT total energy in eV/atom: -6.859
Total moment in μB per cell: 0.00

Unit cell a=5.169 b=5.169 c=4.700 alpha=94.99 beta=94.99 gamma=31.01
Fractional coordinates of all 5 atoms:
Tc  0.000  0.000  0.000
H  0.297  0.297  0.326
Os  0.444  0.444  0.503
Au  0.732  0.732  0.758
N  0.587  0.587  0.261

Record 7
The following is a PBE-GGA calculation of crystalline Pm5AuSe4 at its relaxed geometry, from the Alexandria database.

DOS(E_F) in states/eV per atom: 0.7650
Formation energy from raw total energies in eV per atom: -1.619
Mass density in g/cm3: 7.73
DFT total energy in eV/atom: -5.716
Total moment in μB per cell: 0.00

Unit cell a=15.315 b=15.315 c=15.315 alpha=164.21 beta=164.21 gamma=22.40
Fractional coordinates of all 10 atoms:
Pm  0.000  0.000  0.000
Pm  0.199  0.199  0.000
Pm  0.397  0.397  0.000
Pm  0.603  0.603  0.000
Pm  0.801  0.801  0.000
Au  0.500  0.500  0.000
Se  0.100  0.100  0.000
Se  0.299  0.299  0.000
Se  0.701  0.701  0.000
Se  0.900  0.900  0.000

Record 8
The following is a PBE-GGA calculation of crystalline LiTiNbMo2 at its relaxed geometry, from the Alexandria database.

DOS(E_F) in states/eV per atom: 0.6847
Mass density in g/cm3: 6.43
DFT total energy in eV/atom: -7.131
Energy of formation in eV/atom: 1.18
Total moment in μB per cell: 0.00

Unit cell a=4.560 b=4.560 c=4.218 alpha=90.00 beta=90.00 gamma=90.00
Fractional coordinates of all 5 atoms:
Li  0.000  0.000  0.000
Ti  0.000  0.000  0.500
Nb  0.500  0.500  0.000
Mo  0.000  0.500  0.500
Mo  0.500  0.000  0.500

Record 9
The following is a PBE-GGA calculation of crystalline NaIn2WN4 at its relaxed geometry, from the Alexandria database.

DOS(E_F) in states/eV per atom: 0.3747
Formation energy from raw total energies in eV per atom: -0.118
Mass density in g/cm3: 6.39
DFT total energy in eV/atom: -6.749
Total moment in μB per cell: 0.00

Unit cell a=5.985 b=5.985 c=5.985 alpha=128.42 beta=128.42 gamma=75.95
Fractional coordinates of all 8 atoms:
Na  0.000  0.000  0.000
In  0.250  0.750  0.500
In  0.750  0.250  0.500
W  0.500  0.500  0.000
N  0.172  0.172  0.582
N  0.410  0.828  0.000
N  0.590  0.590  0.418
N  0.828  0.410  0.000

Record 10
The following is a PBE-GGA calculation of crystalline Ca4TmTa3N8 at its relaxed geometry, from the Alexandria database.

DOS(E_F) in states/eV per atom: 0.2148
Formation energy from raw total energies in eV per atom: -1.313
Mass density in g/cm3: 8.03
DFT total energy in eV/atom: -8.478
Total moment in μB per cell: 0.00

Unit cell a=6.717 b=6.717 c=6.717 alpha=57.82 beta=57.82 gamma=57.82
Fractional coordinates of all 16 atoms:
Ca  0.000  0.000  0.000
Ca  0.000  0.500  0.500
Ca  0.500  0.000  0.500
Ca  0.500  0.500  0.000
Tm  0.500  0.500  0.500
Ta  0.000  0.000  0.500
Ta  0.000  0.500  0.000
Ta  0.500  0.000  0.000
N  0.219  0.746  0.746
N  0.238  0.238  0.238
N  0.254  0.254  0.781
N  0.254  0.781  0.254
N  0.746  0.219  0.746
N  0.746  0.746  0.219
N  0.762  0.762  0.762
N  0.781  0.254  0.254

Record 11
The following is a PBE-GGA calculation of crystalline LaPuBe at its relaxed geometry, from the Alexandria database.

DOS(E_F) in states/eV per atom: 1.5414
Mass density in g/cm3: 9.12
DFT total energy in eV/atom: -7.300
Energy of formation in eV/atom: 0.36
Total moment in μB per cell: 0.00

Unit cell a=9.766 b=9.766 c=3.509 alpha=90.00 beta=90.00 gamma=154.75
Fractional coordinates of all 6 atoms:
La  0.187  0.813  0.750
La  0.813  0.187  0.250
Pu  0.460  0.540  0.750
Pu  0.540  0.460  0.250
Be  0.037  0.963  0.750
Be  0.963  0.037  0.250

Record 12
The following is a PBE-GGA calculation of crystalline Ca4La2Bi3O2 at its relaxed geometry, from the Alexandria database.

DOS(E_F) in states/eV per atom: 0.2732
Formation energy from raw total energies in eV per atom: -1.670
Mass density in g/cm3: 6.01
DFT total energy in eV/atom: -5.254
Total moment in μB per cell: 0.00

Unit cell a=13.531 b=13.531 c=13.531 alpha=159.53 beta=159.53 gamma=29.11
Fractional coordinates of all 11 atoms:
Ca  0.083  0.583  0.500
Ca  0.417  0.917  0.500
Ca  0.583  0.083  0.500
Ca  0.917  0.417  0.500
La  0.191  0.191  0.000
La  0.809  0.809  0.000
Bi  0.323  0.323  0.000
Bi  0.500  0.500  0.000
Bi  0.677  0.677  0.000
O  0.101  0.101  0.000
O  0.899  0.899  0.000

Record 13
The following is a PBE-GGA calculation of crystalline LuHfReAg at its relaxed geometry, from the Alexandria database.

DOS(E_F) in states/eV per atom: 0.6918
Mass density in g/cm3: 13.89
DFT total energy in eV/atom: -7.569
Energy of formation in eV/atom: -0.13
Total moment in μB per cell: 0.00

Unit cell a=4.783 b=4.783 c=4.783 alpha=60.00 beta=60.00 gamma=60.00
Fractional coordinates of all 4 atoms:
Lu  0.000  0.000  0.000
Hf  0.500  0.500  0.500
Re  0.750  0.750  0.750
Ag  0.250  0.250  0.250

Record 14
The following is a PBE-GGA calculation of crystalline Nd5Zn4Pb at its relaxed geometry, from the Alexandria database.

DOS(E_F) in states/eV per atom: 1.0134
Mass density in g/cm3: 7.56
DFT total energy in eV/atom: -3.615
Energy of formation in eV/atom: -0.35
Total moment in μB per cell: 0.00

Unit cell a=3.692 b=3.692 c=19.181 alpha=90.00 beta=90.00 gamma=90.00
Fractional coordinates of all 10 atoms:
Nd  0.000  0.000  0.000
Nd  0.000  0.000  0.192
Nd  0.000  0.000  0.383
Nd  0.000  0.000  0.617
Nd  0.000  0.000  0.808
Zn  0.500  0.500  0.098
Zn  0.500  0.500  0.285
Zn  0.500  0.500  0.715
Zn  0.500  0.500  0.902
Pb  0.500  0.500  0.500

Record 15
The following is a PBE-GGA calculation of crystalline Ce2PaMoN4 at its relaxed geometry, from the Alexandria database.

DOS(E_F) in states/eV per atom: 1.3380
Formation energy from raw total energies in eV per atom: -0.655
Mass density in g/cm3: 9.46
DFT total energy in eV/atom: -8.842
Total moment in μB per cell: 2.64

Unit cell a=5.328 b=5.328 c=5.328 alpha=109.32 beta=109.32 gamma=109.78
Fractional coordinates of all 8 atoms:
Ce  0.000  0.500  0.500
Ce  0.500  0.000  0.500
Pa  0.000  0.000  0.000
Mo  0.500  0.500  0.000
N  0.112  0.475  0.000
N  0.475  0.112  0.000
N  0.525  0.525  0.636
N  0.888  0.888  0.364

Record 16
The following is a PBE-GGA calculation of crystalline ZrRe2P at its relaxed geometry, from the Alexandria database.

DOS(E_F) in states/eV per atom: 0.4204
Mass density in g/cm3: 12.66
DFT total energy in eV/atom: -9.761
Energy of formation in eV/atom: -0.05
Total moment in μB per cell: 0.00

Unit cell a=3.262 b=4.110 c=4.840 alpha=90.00 beta=90.00 gamma=90.00
Fractional coordinates of all 4 atoms:
Zr  0.000  0.000  0.000
Re  0.000  0.500  0.500
Re  0.500  0.000  0.500
P  0.500  0.500  0.000

Record 17
The following is a PBE-GGA calculation of crystalline Na2PmHg7 at its relaxed geometry, from the Alexandria database.

DOS(E_F) in states/eV per atom: 0.2484
Mass density in g/cm3: 9.65
DFT total energy in eV/atom: -1.156
Energy of formation in eV/atom: -0.21
Total moment in μB per cell: 0.00

Unit cell a=5.190 b=5.190 c=11.760 alpha=90.00 beta=90.00 gamma=120.00
Fractional coordinates of all 10 atoms:
Na  0.000  0.000  0.000
Na  0.333  0.667  0.598
Pm  0.667  0.333  0.365
Hg  0.000  0.000  0.251
Hg  0.000  0.000  0.502
Hg  0.000  0.000  0.751
Hg  0.333  0.667  0.275
Hg  0.333  0.667  0.892
Hg  0.667  0.333  0.090
Hg  0.667  0.333  0.644

Record 18
The following is a PBE-GGA calculation of crystalline Sb2Pd5 at its relaxed geometry, from the Alexandria database.

DOS(E_F) in states/eV per atom: 0.4861
Formation energy from raw total energies in eV per atom: -0.387
Mass density in g/cm3: 10.52
DFT total energy in eV/atom: -5.274
Total moment in μB per cell: 0.00

Unit cell a=7.242 b=7.242 c=5.772 alpha=90.00 beta=90.00 gamma=126.03
Fractional coordinates of all 14 atoms:
Sb  0.110  0.334  0.000
Sb  0.334  0.110  0.500
Sb  0.666  0.890  0.500
Sb  0.890  0.666  0.000
Pd  0.080  0.287  0.500
Pd  0.272  0.728  0.250
Pd  0.272  0.728  0.750
Pd  0.287  0.080  0.000
Pd  0.500  0.500  0.250
Pd  0.500  0.500  0.750
Pd  0.713  0.920  0.000
Pd  0.728  0.272  0.250
Pd  0.728  0.272  0.750
Pd  0.920  0.713  0.500

Record 19
The following is a PBE-GGA calculation of crystalline TlTe2 at its relaxed geometry, from the Alexandria database.

DOS(E_F) in states/eV per atom: 0.7516
Formation energy from raw total energies in eV per atom: 0.018
Mass density in g/cm3: 7.82
DFT total energy in eV/atom: -2.865
Total moment in μB per cell: 0.00

Unit cell a=4.497 b=4.497 c=5.571 alpha=90.00 beta=90.00 gamma=120.00
Fractional coordinates of all 3 atoms:
Tl  0.000  0.000  0.000
Te  0.333  0.667  0.321
Te  0.667  0.333  0.679

Record 20
The following is a PBE-GGA calculation of crystalline La8AlAu2 at its relaxed geometry, from the Alexandria database.

DOS(E_F) in states/eV per atom: 1.1387
Mass density in g/cm3: 7.36
DFT total energy in eV/atom: -4.864
Energy of formation in eV/atom: -0.34
Total moment in μB per cell: 0.00

Unit cell a=9.951 b=9.951 c=7.138 alpha=105.79 beta=105.79 gamma=30.63
Fractional coordinates of all 11 atoms:
La  0.000  0.000  0.000
La  0.119  0.119  0.685
La  0.308  0.308  0.236
La  0.345  0.345  0.785
La  0.527  0.527  0.308
La  0.669  0.669  0.029
La  0.737  0.737  0.555
La  0.919  0.919  0.484
Al  0.508  0.508  0.736
Au  0.156  0.156  0.293
Au  0.837  0.837  0.021